1.
A relaxed CuH4Pd8 crystal. Source: the Alexandria database, functional PBE-GGA.

Total moment in μB per formula unit: 0.0
Symmetry: P1 (1)
Final energy in eV/f.u.: -59.90

a b c (Å): 2.8755 7.4831 7.4933
angles (deg): 68.88 78.96 79.16
Fractional positions:
Cu: 0.0000 0.0000 0.0000
H: 0.1490 0.5285 0.1589
H: 0.1502 0.1671 0.5014
H: 0.8484 0.8340 0.5009
H: 0.8493 0.4719 0.8430
Pd: 0.0003 0.3288 0.6710
Pd: 0.3314 0.6664 0.6664
Pd: 0.3395 0.3236 0.0004
Pd: 0.3390 0.9989 0.3250
Pd: 0.6594 0.6763 0.0006
Pd: 0.6599 0.0011 0.6756
Pd: 0.6673 0.3336 0.3344
Pd: 0.9983 0.6714 0.3299


2.
A relaxed Cu2H2Pd crystal. Source: the Alexandria database, functional PBE-GGA.

Total moment in μB per formula unit: 0.0
Symmetry: I4/mmm (139)
Final energy in eV/f.u.: -19.35
Energy above the most stable polymorph in this dataset in eV/atom: 0.117

a b c (Å): 3.2902 3.2902 8.3800
angles (deg): 90.00 90.00 90.00
Fractional positions:
Cu: 0.0000 0.0000 0.1653
Cu: 0.0000 0.0000 0.8347
Cu: 0.5000 0.5000 0.3347
Cu: 0.5000 0.5000 0.6653
H: 0.0000 0.5000 0.2500
H: 0.0000 0.5000 0.7500
H: 0.5000 0.0000 0.2500
H: 0.5000 0.0000 0.7500
Pd: 0.0000 0.0000 0.5000
Pd: 0.5000 0.5000 0.0000


3.
A relaxed Cu2H3Pd crystal. Source: the Alexandria database, functional PBE-GGA.

Total moment in μB per formula unit: 0.0
Symmetry: C2/m (12)
Final energy in eV/f.u.: -23.01

a b c (Å): 8.8133 3.7489 3.0229
angles (deg): 90.00 103.07 90.00
Fractional positions:
Cu: 0.1713 0.0000 0.1427
Cu: 0.3287 0.5000 0.8573
Cu: 0.6713 0.5000 0.1427
Cu: 0.8287 0.0000 0.8573
H: 0.0000 0.0000 0.5000
H: 0.1503 0.5000 0.0598
H: 0.3497 0.0000 0.9402
H: 0.5000 0.5000 0.5000
H: 0.6503 0.0000 0.0598
H: 0.8497 0.5000 0.9402
Pd: 0.0000 0.5000 0.5000
Pd: 0.5000 0.0000 0.5000


Here are the calculated V numbers, same order: 11.26, 9.07, 8.11 (Å³ per atom).